No. 1
Entry from the Alexandria database: an optimized crystal structure of Mn3GeO (PBEsol).

Calculated values
Energy relative to the elements, uncorrected ... 6.267 eV/f.u.
Energy ... -6.641 eV/atom

Cell: 4.6925 4.6925 4.6925 Å, 90.00 90.00 90.00°
Space group Pm-3m (No. 221)
One atom of each set of equivalent atoms:
Mn 0.0000 0.0000 0.5000 x3
Ge 0.0000 0.0000 0.0000 x1
O 0.5000 0.5000 0.5000 x1



No. 2
Entry from the Alexandria database: an optimized crystal structure of MnGeO3 (PBEsol).

Calculated values
Energy relative to the elements, uncorrected ... -7.533 eV/f.u.
Energy ... -7.596 eV/atom

Cell: 9.8927 9.2042 5.2658 Å, 90.00 101.70 90.00°
Space group C2/c (No. 15)
One atom of each set of equivalent atoms:
Mn 0.0000 0.0947 0.2500 x4
Mn 0.0000 0.2763 0.7500 x4
Ge 0.2015 0.4073 0.2827 x8
O 0.1171 0.0920 0.6379 x8
O 0.1175 0.2597 0.1183 x8
O 0.1422 0.4344 0.5840 x8



No. 3
Entry from the Alexandria database: an optimized crystal structure of MnGeP2O (PBEsol).

Calculated values
Energy relative to the elements, uncorrected ... -0.783 eV/f.u.
Energy ... -6.463 eV/atom

Cell: 4.6001 4.6001 3.3805 Å, 90.00 90.00 90.00°
Space group P4/mmm (No. 123)
One atom of each set of equivalent atoms:
Mn 0.0000 0.0000 0.0000 x1
Ge 0.5000 0.5000 0.5000 x1
P 0.0000 0.5000 0.0000 x2
O 0.0000 0.0000 0.5000 x1



No. 4
Entry from the Alexandria database: an optimized crystal structure of MnZnGe2O6 (PBEsol).

Calculated values
Energy relative to the elements, uncorrected ... -15.345 eV/f.u.
Energy ... -6.806 eV/atom

Cell: 10.0060 9.4386 5.4531 Å, 90.00 109.09 90.00°
Space group C2/c (No. 15)
One atom of each set of equivalent atoms:
Mn 0.0000 0.1019 0.2500 x4
Zn 0.0000 0.2345 0.7500 x4
Ge 0.1945 0.4137 0.2347 x8
O 0.1169 0.2530 0.1052 x8
O 0.1187 0.0823 0.6463 x8
O 0.1350 0.4486 0.5019 x8



No. 5
Entry from the Alexandria database: an optimized crystal structure of Mn3GeP (PBEsol).

Calculated values
Energy ... -7.601 eV/atom
Energy of formation from the pure elements ... 402 meV/atom

Cell: 4.0836 4.0836 4.0836 Å, 90.00 90.00 90.00°
Space group Pm-3m (No. 221)
One atom of each set of equivalent atoms:
Mn 0.0000 0.0000 0.5000 x3
Ge 0.5000 0.5000 0.5000 x1
P 0.0000 0.0000 0.0000 x1



No. 6
Entry from the Alexandria database: an optimized crystal structure of MnGePd3 (PBEsol).

Calculated values
Energy ... -6.132 eV/atom
Energy of formation from the pure elements ... 383 meV/atom

Cell: 4.5358 4.5358 4.5358 Å, 90.00 90.00 90.00°
Space group Pm-3m (No. 221)
One atom of each set of equivalent atoms:
Mn 0.0000 0.0000 0.0000 x1
Ge 0.5000 0.5000 0.5000 x1
Pd 0.0000 0.5000 0.5000 x3